# 1
This record from Alexandria describes crystalline KSiP2 at its relaxed geometry. The functional is PBE.

a = 3.5327 Å, b = 3.5327 Å, c = 6.7645 Å
α = 90.00°, β = 90.00°, γ = 90.00°
Fractional coordinates of all 4 atoms:
1 K 0.5000 0.5000 0.7552
2 P 0.0000 0.0000 0.0899
3 P 0.5000 0.5000 0.2432
4 Si 0.0000 0.0000 0.4117

Results
For the theoretical density, the calculation gives 2.5 Mg/m³. The value obtained for the excess energy over the best structure of this formula in the dataset is 1.18 eV per formula unit. As for the magnetic moment: 0.0 μB per cell. As for the space-group type: P4mm, No. 99. The calculation puts the uncorrected formation energy at 190 meV/atom. As for the uncorrected energy: -4.1450 eV per atom.

# 2
This record from Alexandria describes crystalline K2SiP at its relaxed geometry. The functional is PBE.

a = 4.2844 Å, b = 4.2844 Å, c = 5.2163 Å
α = 90.00°, β = 90.00°, γ = 90.00°
Fractional coordinates of all 4 atoms:
1 K 0.0000 0.0000 0.0000
2 K 0.5000 0.5000 0.0000
3 P 0.5000 0.0000 0.5000
4 Si 0.0000 0.5000 0.5000

Results
For the theoretical density, the calculation gives 2.4 Mg/m³. The value obtained for the excess energy over the best structure of this formula in the dataset is 2.32 eV per formula unit. As for the magnetic moment: 0.0 μB per cell. As for the space-group type: P4/mmm, No. 123. The calculation puts the uncorrected formation energy at 353 meV/atom. As for the uncorrected energy: -2.9036 eV per atom.

# 3
This record from Alexandria describes crystalline KSiP2 at its relaxed geometry. The functional is PBE.

a = 4.1144 Å, b = 4.3357 Å, c = 4.3357 Å
α = 90.00°, β = 90.00°, γ = 90.00°
Fractional coordinates of all 4 atoms:
1 K 0.5000 0.0000 0.5000
2 P 0.0000 0.0000 0.0000
3 P 0.0000 0.5000 0.5000
4 Si 0.5000 0.5000 0.0000

Results
For the theoretical density, the calculation gives 2.8 Mg/m³. The value obtained for the excess energy over the best structure of this formula in the dataset is 2.97 eV per formula unit. As for the magnetic moment: 0.0 μB per cell. As for the space-group type: P4/mmm, No. 123. The calculation puts the uncorrected formation energy at 638 meV/atom. As for the uncorrected energy: -3.6966 eV per atom.

# 4
This record from Alexandria describes crystalline KSiP at its relaxed geometry. The functional is PBE.

a = 4.8741 Å, b = 4.8741 Å, c = 4.8741 Å
α = 60.00°, β = 60.00°, γ = 60.00°
Fractional coordinates of all 3 atoms:
1 K 0.5000 0.5000 0.5000
2 P 0.7500 0.7500 0.7500
3 Si 0.0000 0.0000 0.0000

Results
For the theoretical density, the calculation gives 2.0 Mg/m³. As for the magnetic moment: 0.0 μB per cell. As for the space-group type: F-43m, No. 216. The calculation puts the uncorrected formation energy at 551 meV/atom. As for the uncorrected energy: -3.4262 eV per atom.

# 5
This record from Alexandria describes crystalline KSi3P at its relaxed geometry. The functional is PBE.

a = 4.8359 Å, b = 4.8359 Å, c = 4.8359 Å
α = 90.00°, β = 90.00°, γ = 90.00°
Fractional coordinates of all 5 atoms:
1 P 0.0000 0.0000 0.0000
2 K 0.5000 0.5000 0.5000
3 Si 0.0000 0.5000 0.0000
4 Si 0.0000 0.0000 0.5000
5 Si 0.5000 0.0000 0.0000

Results
For the theoretical density, the calculation gives 2.3 Mg/m³. The value obtained for the excess energy over the best structure of this formula in the dataset is 0.00 eV per formula unit. As for the magnetic moment: 0.0 μB per cell. As for the space-group type: Pm-3m, No. 221. The calculation puts the uncorrected formation energy at 711 meV/atom. As for the uncorrected energy: -3.8447 eV per atom.

# 6
This record from Alexandria describes crystalline KSiP2 at its relaxed geometry. The functional is PBE.

a = 4.6382 Å, b = 2.8134 Å, c = 6.2886 Å
α = 90.01°, β = 90.00°, γ = 90.00°
Fractional coordinates of all 4 atoms:
1 K 0.5000 0.7500 0.7559
2 P 0.0000 0.2498 0.0696
3 P 0.5000 0.2502 0.2511
4 Si 0.0000 0.2500 0.4233

Results
For the theoretical density, the calculation gives 2.6 Mg/m³. The value obtained for the excess energy over the best structure of this formula in the dataset is 1.04 eV per formula unit. As for the magnetic moment: 0.0 μB per cell. As for the space-group type: Pmm2, No. 25. The calculation puts the uncorrected formation energy at 155 meV/atom. As for the uncorrected energy: -4.1801 eV per atom.

# 7
This record from Alexandria describes crystalline KSi3P at its relaxed geometry. The functional is PBE.

a = 5.3272 Å, b = 5.3272 Å, c = 5.3272 Å
α = 90.00°, β = 90.00°, γ = 90.00°
Fractional coordinates of all 5 atoms:
1 P 0.5000 0.5000 0.5000
2 K 0.0000 0.0000 0.0000
3 Si 0.0000 0.5000 0.0000
4 Si 0.0000 0.0000 0.5000
5 Si 0.5000 0.0000 0.0000

Results
For the theoretical density, the calculation gives 1.7 Mg/m³. The value obtained for the excess energy over the best structure of this formula in the dataset is 8.62 eV per formula unit. As for the magnetic moment: 0.0 μB per cell. As for the space-group type: Pm-3m, No. 221. The calculation puts the uncorrected formation energy at 2434 meV/atom. As for the uncorrected energy: -2.1212 eV per atom.

# 8
This record from Alexandria describes crystalline K2SiP at its relaxed geometry. The functional is PBE.

a = 5.1856 Å, b = 3.0022 Å, c = 6.8829 Å
α = 64.25°, β = 90.00°, γ = 90.00°
Fractional coordinates of all 4 atoms:
1 K 0.0000 0.9889 0.0109
2 K 0.0000 0.5111 0.4891
3 P 0.5000 0.2500 0.2500
4 Si 0.5000 0.7500 0.7500

Results
For the theoretical density, the calculation gives 2.4 Mg/m³. The value obtained for the excess energy over the best structure of this formula in the dataset is 2.31 eV per formula unit. As for the magnetic moment: 0.0 μB per cell. As for the space-group type: P2/m, No. 10. The calculation puts the uncorrected formation energy at 352 meV/atom. As for the uncorrected energy: -2.9047 eV per atom.

# 9
This record from Alexandria describes crystalline K2SiP at its relaxed geometry. The functional is PBE.

a = 3.4234 Å, b = 3.4234 Å, c = 10.0561 Å
α = 90.00°, β = 90.00°, γ = 90.00°
Fractional coordinates of all 4 atoms:
1 K 0.0000 0.0000 0.9055
2 K 0.5000 0.5000 0.3470
3 P 0.0000 0.0000 0.5823
4 Si 0.5000 0.5000 0.6652

Results
For the theoretical density, the calculation gives 1.9 Mg/m³. The value obtained for the excess energy over the best structure of this formula in the dataset is 1.14 eV per formula unit. As for the magnetic moment: 0.2 μB per cell. As for the space-group type: P4mm, No. 99. The calculation puts the uncorrected formation energy at 59 meV/atom. As for the uncorrected energy: -3.1980 eV per atom.

# 10
This record from Alexandria describes crystalline K2SiP at its relaxed geometry. The functional is PBE.

a = 6.0152 Å, b = 6.0152 Å, c = 6.0152 Å
α = 137.79°, β = 137.77°, γ = 61.24°
Each line ends with the local moment (μB).
Fractional coordinates of all 4 atoms:
1 K 0.9998 0.9998 0.0000  0.01
2 K 0.5002 0.5002 0.0000  0.01
3 P 0.7500 0.2500 0.5000  0.02
4 Si 0.2500 0.7500 0.5000  0.08

Results
For the theoretical density, the calculation gives 2.3 Mg/m³. The value obtained for the excess energy over the best structure of this formula in the dataset is 2.36 eV per formula unit. As for the magnetic moment: 0.4 μB per cell. As for the space-group type: I4/mmm, No. 139. The calculation puts the uncorrected formation energy at 365 meV/atom. As for the uncorrected energy: -2.8923 eV per atom.

# 11
This record from Alexandria describes crystalline K3Si2P4 at its relaxed geometry. The functional is PBE.

a = 3.6475 Å, b = 8.2071 Å, c = 10.8482 Å
α = 127.08°, β = 90.00°, γ = 102.84°
Fractional coordinates of all 9 atoms:
1 K 0.6006 0.2013 0.7731
2 K 0.0000 0.0000 0.0000
3 K 0.3994 0.7987 0.2269
4 Si 0.7122 0.4244 0.3549
5 Si 0.2878 0.5756 0.6451
6 P 0.7102 0.4204 0.1538
7 P 0.2898 0.5796 0.8462
8 P 0.8665 0.7330 0.6145
9 P 0.1335 0.2670 0.3855

Results
For the theoretical density, the calculation gives 2.0 Mg/m³. The value obtained for the excess energy over the best structure of this formula in the dataset is 0.45 eV per formula unit. As for the magnetic moment: 0.0 μB per cell. As for the space-group type: C2/m, No. 12. The calculation puts the uncorrected formation energy at -280 meV/atom. As for the uncorrected energy: -4.2553 eV per atom.

# 12
This record from Alexandria describes crystalline K2SiP at its relaxed geometry. The functional is PBE.

a = 5.4584 Å, b = 5.4584 Å, c = 5.4584 Å
α = 60.00°, β = 60.00°, γ = 60.00°
Each line ends with the local moment (μB).
Fractional coordinates of all 4 atoms:
1 P 0.5000 0.5000 0.5000  -0.14
2 K 0.2500 0.2500 0.2500  0.02
3 K 0.7500 0.7500 0.7500  0.02
4 Si 0.0000 0.0000 0.0000  0.37

Results
For the theoretical density, the calculation gives 2.0 Mg/m³. The value obtained for the excess energy over the best structure of this formula in the dataset is 3.05 eV per formula unit. As for the magnetic moment: 1.0 μB per cell. As for the space-group type: Fm-3m, No. 225. The calculation puts the uncorrected formation energy at 538 meV/atom. As for the uncorrected energy: -2.7187 eV per atom.

> uncorrected energy of number 5 (KSi3P)?

-3.8447 eV per atom

Copy entry 7 word for word.
This record from Alexandria describes crystalline KSi3P at its relaxed geometry. The functional is PBE.

a = 5.3272 Å, b = 5.3272 Å, c = 5.3272 Å
α = 90.00°, β = 90.00°, γ = 90.00°
Fractional coordinates of all 5 atoms:
1 P 0.5000 0.5000 0.5000
2 K 0.0000 0.0000 0.0000
3 Si 0.0000 0.5000 0.0000
4 Si 0.0000 0.0000 0.5000
5 Si 0.5000 0.0000 0.0000

Results
For the theoretical density, the calculation gives 1.7 Mg/m³. The value obtained for the excess energy over the best structure of this formula in the dataset is 8.62 eV per formula unit. As for the magnetic moment: 0.0 μB per cell. As for the space-group type: Pm-3m, No. 221. The calculation puts the uncorrected formation energy at 2434 meV/atom. As for the uncorrected energy: -2.1212 eV per atom.

> Which formula does entry 7 have?

KSi3P